Entry 1:
Compound: LiIn6Pd2
Source: Alexandria
Functional: PBE-GGA
Structure: relaxed

The space group is P2_1/c (No. 14) and the conventional cell measures 6.838, 7.002 and 9.790 Å, with angles of 90.00, 120.27 and 90.00 degrees. Symmetry generates all atoms from Li at (0.000, 0.000, 0.000), In at (0.146, 0.122, 0.436), In at (0.289, 0.689, 0.415), In at (0.444, 0.026, 0.251) and Pd at (0.179, 0.158, 0.725).

The calculation puts the volume at 404.8 Å³ per cell. The value obtained for the energy above the most stable polymorph in this dataset is 77 meV per atom. Its density is 7455 kg/m³. For the formation energy, the calculation gives -22.2 kJ per mole of atoms.

---

Entry 2:
Compound: Li2In3Pd4
Source: Alexandria
Functional: PBE-GGA
Structure: relaxed

The space group is C2/c (No. 15) and the conventional cell measures 12.954, 9.682 and 4.886 Å, with angles of 90.00, 98.48 and 90.00 degrees. Symmetry generates all atoms from Li at (0.221, 0.125, 0.376), In at (0.000, 0.128, 0.250), In at (0.162, 0.371, 0.064), Pd at (0.062, 0.374, 0.526) and Pd at (0.118, 0.114, 0.805).

The calculation puts the volume at 606.1 Å³ per cell. The value obtained for the energy above the most stable polymorph in this dataset is 19 meV per atom. Its density is 8592 kg/m³. For the formation energy, the calculation gives -48.2 kJ per mole of atoms.

---

Calculated raw total energy, -61.6, -149.3 eV per cell (same order as the records).